KAlIr2 | the Alexandria database | PBE | relaxed; total magnetization = 0.00 μB per cell; V = 25.0 Å³/atom; energy of formation from the pure elements = 0.423 eV per atom; density of states at the Fermi level = 5.6 states/eV/cell
1.0
-2.401 2.401 8.659
2.401 -2.401 8.659
2.401 2.401 -8.659
K Al Ir
2 2 4
Cartesian
0.000 0.000 0.000
0.000 2.401 4.330
2.401 0.000 4.330
0.000 0.000 8.659
1.201 2.074 -2.165
2.729 1.201 2.165
1.201 0.327 6.495
-0.327 1.201 10.824